w | The following is a PBE calculation of a relaxed TlTcPb crystal, from the Alexandria database.

## Properties
Fermi-level density of states (states/eV/atom): 0.848
Space group: No. 42

Cell: 7.441 7.438 3.179 Å, 77.71 77.62 24.67°
Element x y z (fractional)
Pb: 0.973 0.973 0.027
Tc: 0.332 0.332 0.668
Tl: 0.695 0.695 0.305

x | The following is a PBE calculation of a relaxed TlTcPb crystal, from the Alexandria database.

## Properties
Fermi-level density of states (states/eV/atom): 0.948
Space group: No. 156

Cell: 3.316 3.316 7.230 Å, 90.00 90.00 120.00°
Element x y z (fractional)
Tc: 0.333 0.667 0.330
Tl: 0.667 0.333 0.630
Pb: 0.000 0.000 0.039

y | The following is a PBE calculation of a relaxed TlTcPb crystal, from the Alexandria database.

## Properties
Fermi-level density of states (states/eV/atom): 1.409
Space group: No. 216

Cell: 4.693 4.693 4.693 Å, 60.00 60.00 60.00°
Element x y z (fractional)
Tc: 0.750 0.750 0.750
Tl: 0.000 0.000 0.000
Pb: 0.500 0.500 0.500

Quick one: most stable of them? x

w | The following is a PBE calculation of a relaxed TlTc2Pb crystal, from the Alexandria database.

## Properties
Fermi-level density of states (states/eV/atom): 0.791
Space group: No. 225

Cell: 4.737 4.737 4.737 Å, 60.00 60.00 60.00°
Element x y z (fractional)
Tc: 0.250 0.250 0.250
Tc: 0.750 0.750 0.750
Tl: 0.000 0.000 0.000
Pb: 0.500 0.500 0.500

x | The following is a PBE calculation of a relaxed TlTc2Pb crystal, from the Alexandria database.

## Properties
Fermi-level density of states (states/eV/atom): 1.297
Space group: No. 216

Cell: 4.816 4.816 4.816 Å, 60.00 60.00 60.00°
Element x y z (fractional)
Tc: 0.250 0.250 0.250
Tc: 0.000 0.000 0.000
Tl: 0.750 0.750 0.750
Pb: 0.500 0.500 0.500

Quick one: most stable of them? w

w | The following is a PBE calculation of a relaxed TlTc2Pb crystal, from the Alexandria database.

## Properties
Fermi-level density of states (states/eV/atom): 0.850
Space group: No. 10

Cell: 4.587 3.395 5.465 Å, 88.84 90.00 90.00°
Element x y z (fractional)
Tc: 0.000 0.397 0.557
Tc: 0.000 0.103 0.943
Pb: 0.500 0.750 0.750
Tl: 0.500 0.250 0.250

x | The following is a PBE calculation of a relaxed TlTc2Pb crystal, from the Alexandria database.

## Properties
Fermi-level density of states (states/eV/atom): 0.849
Space group: No. 44

Cell: 6.443 6.443 6.443 Å, 151.25 136.30 53.16°
Element x y z (fractional)
Pb: 0.222 0.722 0.500
Tc: 0.963 0.963 0.000
Tc: 0.811 0.311 0.500
Tl: 0.504 0.504 0.000

Quick one: most stable of them? x

w | The following is a PBE calculation of a relaxed TlTc2Pb crystal, from the Alexandria database.

## Properties
Fermi-level density of states (states/eV/atom): 0.821
Space group: No. 166

Cell: 8.989 8.989 8.989 Å, 20.34 20.34 20.34°
Element x y z (fractional)
Tl: 0.750 0.750 0.750
Tc: 0.999 0.999 0.999
Tc: 0.501 0.501 0.501
Pb: 0.250 0.250 0.250

x | The following is a PBE calculation of a relaxed TlTc2Pb crystal, from the Alexandria database.

## Properties
Fermi-level density of states (states/eV/atom): 0.790
Space group: No. 123

Cell: 4.735 4.735 3.348 Å, 90.00 90.00 90.01°
Element x y z (fractional)
Pb: 0.000 0.500 0.500
Tl: 0.500 0.000 0.500
Tc: 0.000 0.000 0.000
Tc: 0.500 0.500 0.000

y | The following is a PBE calculation of a relaxed TlTc2Pb crystal, from the Alexandria database.

## Properties
Fermi-level density of states (states/eV/atom): 0.628
Space group: No. 99

Cell: 3.090 3.090 8.890 Å, 90.00 90.00 90.00°
Element x y z (fractional)
Tl: 0.000 0.000 0.447
Pb: 0.500 0.500 0.800
Tc: 0.500 0.500 0.203
Tc: 0.000 0.000 0.050

z | The following is a PBE calculation of a relaxed TlTc2Pb crystal, from the Alexandria database.

## Properties
Fermi-level density of states (states/eV/atom): 1.076
Space group: No. 12

Cell: 5.549 5.509 3.110 Å, 75.23 86.90 119.23°
Element x y z (fractional)
Tc: 0.000 0.000 0.000
Tc: 0.500 0.000 0.500
Pb: 0.500 0.500 0.000
Tl: 0.000 0.500 0.500

Quick one: most stable of them? y

w | The following is a PBE calculation of a relaxed TlTc2Pb crystal, from the Alexandria database.

## Properties
Fermi-level density of states (states/eV/atom): 1.031
Space group: No. 65

Cell: 3.116 3.116 9.057 Å, 90.00 90.00 116.72°
Element x y z (fractional)
Tc: 0.000 0.000 0.997
Tc: 0.000 0.000 0.503
Tl: 0.500 0.500 0.250
Pb: 0.500 0.500 0.750

x | The following is a PBE calculation of a relaxed TlTc2Pb crystal, from the Alexandria database.

## Properties
Fermi-level density of states (states/eV/atom): 0.796
Space group: No. 47

Cell: 3.259 5.298 4.552 Å, 90.00 90.00 90.00°
Element x y z (fractional)
Pb: 0.000 0.500 0.500
Tl: 0.500 0.000 0.500
Tc: 0.000 0.000 0.000
Tc: 0.500 0.500 0.000

y | The following is a PBE calculation of a relaxed TlTc2Pb crystal, from the Alexandria database.

## Properties
Fermi-level density of states (states/eV/atom): 0.723
Space group: No. 12

Cell: 5.498 5.498 6.077 Å, 63.89 63.89 35.30°
Element x y z (fractional)
Tc: 0.508 0.508 0.605
Tc: 0.992 0.992 0.895
Tl: 0.750 0.750 0.750
Pb: 0.250 0.250 0.250

z | The following is a PBE calculation of a relaxed TlTc2Pb crystal, from the Alexandria database.

## Properties
Fermi-level density of states (states/eV/atom): 0.545
Space group: No. 8

Cell: 5.284 5.284 6.216 Å, 61.14 61.14 35.37°
Element x y z (fractional)
Tc: 0.066 0.066 0.030
Tc: 0.689 0.689 0.704
Pb: 0.286 0.286 0.194
Tl: 0.459 0.459 0.572

Quick one: most stable of them? z

w | The following is a PBE calculation of a relaxed TlTc2Pb crystal, from the Alexandria database.

## Properties
Fermi-level density of states (states/eV/atom): 0.948
Space group: No. 122

Cell: 7.587 7.587 6.166 Å, 52.03 52.03 90.00°
Element x y z (fractional)
Tc: 0.375 0.373 0.750
Tc: 0.627 0.125 0.250
Tc: 0.123 0.625 0.250
Tc: 0.875 0.877 0.750
Pb: 0.750 0.250 0.500
Pb: 0.000 0.000 0.000
Tl: 0.500 0.500 0.000
Tl: 0.250 0.750 0.500

x | The following is a PBE calculation of a relaxed TlTc2Pb crystal, from the Alexandria database.

## Properties
Fermi-level density of states (states/eV/atom): 1.324
Space group: No. 119

Cell: 5.377 5.377 5.377 Å, 135.09 135.09 65.39°
Element x y z (fractional)
Tl: 0.500 0.500 0.000
Pb: 0.750 0.250 0.500
Tc: 0.250 0.750 0.500
Tc: 0.000 0.000 0.000

y | The following is a PBE calculation of a relaxed TlTc2Pb crystal, from the Alexandria database.

## Properties
Fermi-level density of states (states/eV/atom): 0.608
Space group: No. 38

Cell: 4.371 3.477 5.610 Å, 71.95 90.00 90.00°
Element x y z (fractional)
Pb: 0.500 0.790 0.795
Tl: 0.000 0.460 0.455
Tc: 0.000 0.180 0.015
Tc: 0.500 0.070 0.235

Quick one: most stable of them? y

w | The following is a PBE calculation of a relaxed TlTcPb2 crystal, from the Alexandria database.

## Properties
Fermi-level density of states (states/eV/atom): 0.662
Space group: No. 12

Cell: 7.576 5.604 3.321 Å, 89.55 64.74 123.34°
Element x y z (fractional)
Pb: 0.500 0.000 0.500
Pb: 0.000 0.000 0.000
Tl: 0.500 0.500 0.000
Tc: 0.000 0.500 0.500

x | The following is a PBE calculation of a relaxed TlTcPb2 crystal, from the Alexandria database.

## Properties
Fermi-level density of states (states/eV/atom): 0.878
Space group: No. 123

Cell: 5.544 5.544 3.319 Å, 90.00 90.00 90.00°
Element x y z (fractional)
Pb: 0.000 0.000 0.000
Pb: 0.500 0.500 0.000
Tl: 0.000 0.500 0.500
Tc: 0.500 0.000 0.500

y | The following is a PBE calculation of a relaxed TlTcPb2 crystal, from the Alexandria database.

## Properties
Fermi-level density of states (states/eV/atom): 0.761
Space group: No. 160

Cell: 10.801 10.801 10.801 Å, 17.64 17.64 17.64°
Element x y z (fractional)
Pb: 0.002 0.002 0.002
Pb: 0.234 0.234 0.234
Tl: 0.765 0.765 0.765
Tc: 0.500 0.500 0.500

z | The following is a PBE calculation of a relaxed TlTcPb2 crystal, from the Alexandria database.

## Properties
Fermi-level density of states (states/eV/atom): 0.349
Space group: No. 122

Cell: 6.166 6.166 9.057 Å, 70.10 70.10 90.00°
Element x y z (fractional)
Tl: 0.750 0.250 0.500
Tl: 0.000 0.000 0.000
Tc: 0.250 0.750 0.500
Tc: 0.500 0.500 0.000
Pb: 0.875 0.744 0.750
Pb: 0.375 0.506 0.750
Pb: 0.494 0.125 0.250
Pb: 0.256 0.625 0.250

Quick one: most stable of them? y

w | The following is a PBE calculation of a relaxed TlTcPb2 crystal, from the Alexandria database.

## Properties
Fermi-level density of states (states/eV/atom): 0.795
Space group: No. 119

Cell: 5.866 5.866 5.866 Å, 134.40 134.40 66.47°
Element x y z (fractional)
Tl: 0.750 0.250 0.500
Pb: 0.000 0.000 0.000
Pb: 0.250 0.750 0.500
Tc: 0.500 0.500 0.000

x | The following is a PBE calculation of a relaxed TlTcPb2 crystal, from the Alexandria database.

## Properties
Fermi-level density of states (states/eV/atom): 0.922
Space group: No. 99

Cell: 3.333 3.333 8.927 Å, 90.00 90.00 89.97°
Element x y z (fractional)
Tl: 0.500 0.500 0.697
Tc: 0.000 0.000 0.501
Pb: 0.000 0.000 0.993
Pb: 0.500 0.500 0.309

Quick one: most stable of them? x

w | The following is a PBE calculation of a relaxed TlTcPb2 crystal, from the Alexandria database.

## Properties
Fermi-level density of states (states/eV/atom): 0.705
Space group: No. 10

Cell: 3.348 5.817 6.649 Å, 51.58 90.00 90.00°
Element x y z (fractional)
Pb: 0.500 0.500 0.000
Pb: 0.000 0.000 0.000
Tc: 0.500 0.500 0.500
Tl: 0.000 0.000 0.500

x | The following is a PBE calculation of a relaxed TlTcPb2 crystal, from the Alexandria database.

## Properties
Fermi-level density of states (states/eV/atom): 0.730
Space group: No. 38

Cell: 4.845 3.694 5.743 Å, 71.23 90.00 90.00°
Element x y z (fractional)
Pb: 0.500 0.280 0.315
Pb: 0.000 0.971 0.934
Tl: 0.500 0.554 0.765
Tc: 0.000 0.695 0.486

Quick one: most stable of them? x

w | The following is a PBE calculation of a relaxed TlTcPb2 crystal, from the Alexandria database.

## Properties
Fermi-level density of states (states/eV/atom): 1.223
Space group: No. 216

Cell: 5.245 5.245 5.245 Å, 60.00 60.00 60.00°
Element x y z (fractional)
Tc: 0.500 0.500 0.500
Pb: 0.250 0.250 0.250
Pb: 0.000 0.000 0.000
Tl: 0.750 0.750 0.750

x | The following is a PBE calculation of a relaxed TlTcPb2 crystal, from the Alexandria database.

## Properties
Fermi-level density of states (states/eV/atom): 1.113
Space group: No. 166

Cell: 10.668 10.668 10.668 Å, 18.16 18.16 18.16°
Element x y z (fractional)
Pb: 0.516 0.516 0.516
Pb: 0.984 0.984 0.984
Tc: 0.250 0.250 0.250
Tl: 0.750 0.750 0.750

Quick one: most stable of them? x

w | The following is a PBE calculation of a relaxed Y4TcPb crystal, from the Alexandria database.

## Properties
Fermi-level density of states (states/eV/atom): 1.016
Space group: No. 216

Cell: 6.137 6.137 6.137 Å, 60.00 60.00 60.00°
Element x y z (fractional)
Y: 0.374 0.374 0.374
Y: 0.374 0.878 0.374
Y: 0.374 0.374 0.878
Y: 0.878 0.374 0.374
Pb: 0.750 0.750 0.750
Tc: 0.000 0.000 0.000

x | The following is a PBE calculation of a relaxed Y4TcPb crystal, from the Alexandria database.

## Properties
Fermi-level density of states (states/eV/atom): 0.983
Space group: No. 15

Cell: 6.223 8.124 8.124 Å, 112.66 103.04 103.04°
Element x y z (fractional)
Y: 0.435 0.722 0.058
Y: 0.065 0.942 0.278
Y: 0.565 0.278 0.942
Y: 0.659 0.206 0.349
Y: 0.341 0.794 0.651
Y: 0.935 0.058 0.722
Y: 0.159 0.349 0.206
Y: 0.841 0.651 0.794
Pb: 0.750 0.629 0.371
Pb: 0.250 0.371 0.629
Tc: 0.750 0.000 0.000
Tc: 0.250 0.000 0.000

Quick one: most stable of them? x